(1)
# Ti2GaCo2

A crystal of Ti2GaCo2 relaxed with PBEsol (SCAN, Alexandria).

Calculated values
Formation energy from the elements   -0.385 eV per atom
SG   P4/mbm (127)

a = 6.693 Å, b = 6.693 Å, c = 2.928 Å
α = 90.00°, β = 90.00°, γ = 90.00°
Atoms (fractional coordinates):
Ti 0.169 0.331 0.000
Ti 0.331 0.831 0.000
Ti 0.669 0.169 0.000
Ti 0.831 0.669 0.000
Ga 0.000 0.000 0.500
Ga 0.500 0.500 0.500
Co 0.131 0.631 0.500
Co 0.369 0.131 0.500
Co 0.631 0.869 0.500
Co 0.869 0.369 0.500

=====

(2)
# TiGaCo3

A crystal of TiGaCo3 relaxed with PBEsol (SCAN, Alexandria).

Calculated values
Formation energy from the elements   0.950 eV per atom
SG   Pm-3m (221)

a = 4.155 Å, b = 4.155 Å, c = 4.155 Å
α = 90.00°, β = 90.00°, γ = 90.00°
Atoms (fractional coordinates):
Ti 0.000 0.000 0.000
Ga 0.500 0.500 0.500
Co 0.000 0.500 0.500
Co 0.500 0.000 0.500
Co 0.500 0.500 0.000

=====

(3)
# Y2TiGaCo

A crystal of Y2TiGaCo relaxed with PBEsol (SCAN, Alexandria).

Calculated values
Formation energy from the elements   0.371 eV per atom
SG   P4/mmm (123)

a = 5.344 Å, b = 5.344 Å, c = 4.243 Å
α = 90.00°, β = 90.00°, γ = 90.00°
Atoms (fractional coordinates):
Y 0.000 0.500 0.000
Y 0.500 0.000 0.000
Ti 0.000 0.000 0.500
Ga 0.500 0.500 0.000
Co 0.500 0.500 0.500

=====

(4)
# TlGa2Co2

A crystal of TlGa2Co2 relaxed with PBEsol (SCAN, Alexandria).

Calculated values
Formation energy from the elements   0.222 eV per atom
SG   I4/mmm (139)

a = 6.238 Å, b = 6.238 Å, c = 6.238 Å
α = 146.59°, β = 146.59°, γ = 47.98°
Atoms (fractional coordinates):
Tl 0.000 0.000 0.000
Ga 0.250 0.750 0.500
Ga 0.750 0.250 0.500
Co 0.396 0.396 0.000
Co 0.604 0.604 0.000

=====

(5)
# Tm2GaCo2

A crystal of Tm2GaCo2 relaxed with PBEsol (SCAN, Alexandria).

Calculated values
Formation energy from the elements   -0.422 eV per atom
SG   Immm (71)

a = 5.199 Å, b = 5.199 Å, c = 5.199 Å
α = 135.22°, β = 118.84°, γ = 78.92°
Atoms (fractional coordinates):
Tm 0.206 0.206 0.000
Tm 0.794 0.794 0.000
Ga 0.500 0.000 0.500
Co 0.218 0.500 0.718
Co 0.782 0.500 0.282

=====

(6)
# TmGa5Co

A crystal of TmGa5Co relaxed with PBEsol (SCAN, Alexandria).

Calculated values
Formation energy from the elements   -0.503 eV per atom
SG   P4/mmm (123)

a = 4.128 Å, b = 4.128 Å, c = 6.665 Å
α = 90.00°, β = 90.00°, γ = 90.00°
Atoms (fractional coordinates):
Tm 0.000 0.000 0.000
Ga 0.000 0.500 0.309
Ga 0.000 0.500 0.691
Ga 0.500 0.000 0.309
Ga 0.500 0.000 0.691
Ga 0.500 0.500 0.000
Co 0.000 0.000 0.500